The following is a PBE calculation of a geometry-optimized SmHoPu structure, from the Alexandria database.

a b c (Å): 3.521 3.521 7.844
angles (deg): 102.97 102.97 90.00
Last column: magnetic moment on the atom in μB.
Fractional coordinates of all 3 atoms:
1 Ho 0.663 0.663 0.326  0.06
2 Sm 0.336 0.336 0.671  -0.02
3 Pu 0.001 0.001 0.003  5.62

Values from the calculation:
Raw total energy in eV/atom: -7.76
Distance to the lowest polymorph of the same formula in eV/atom: 0.000
Size of the total moment in μB/f.u.: 6.15
Calculated formation energy in eV per atom: 0.117

---

The following is a PBE calculation of a geometry-optimized LiTi2Ga3 structure, from the Alexandria database.

a b c (Å): 4.006 6.338 7.749
angles (deg): 90.00 90.00 71.58
Fractional coordinates of all 12 atoms:
1 Li 0.326 0.347 0.000
2 Li 0.674 0.653 0.000
3 Ti 0.000 0.000 0.000
4 Ti 0.000 0.000 0.500
5 Ti 0.329 0.341 0.500
6 Ti 0.671 0.659 0.500
7 Ga 0.835 0.330 0.753
8 Ga 0.500 0.000 0.244
9 Ga 0.165 0.670 0.247
10 Ga 0.835 0.330 0.247
11 Ga 0.165 0.670 0.753
12 Ga 0.500 0.000 0.756

Values from the calculation:
Raw total energy in eV/atom: -4.86
Distance to the lowest polymorph of the same formula in eV/atom: 0.000
Size of the total moment in μB/f.u.: 0.00
Calculated formation energy in eV per atom: -0.393

---

The following is a PBE calculation of a geometry-optimized MgPtPbF2 structure, from the Alexandria database.

a b c (Å): 3.936 3.936 5.473
angles (deg): 90.00 90.00 90.00
Fractional coordinates of all 5 atoms:
1 Pb 0.500 0.500 0.500
2 Mg 0.000 0.000 0.000
3 Pt 0.000 0.000 0.500
4 F 0.000 0.500 0.000
5 F 0.500 0.000 0.000

Values from the calculation:
Raw total energy in eV/atom: -4.82
Energy relative to the elements, uncorrected in eV per atom: -1.80
Size of the total moment in μB/f.u.: 0.00